[1]
A plane-wave DFT calculation with PBE-GGA was carried out for a geometry-optimized Sr2LiTl2Pb4 structure.

```
data_Sr2LiTl2Pb4
_cell_length_a 7.288
_cell_length_b 7.288
_cell_length_c 10.355
_cell_angle_alpha 90.00
_cell_angle_beta 90.00
_cell_angle_gamma 90.00
_symmetry_space_group_name_H-M 'I 4/m m m'
_symmetry_Int_Tables_number 139
_symmetry_space_group_name_Hall '-I 4 2'
loop_
_atom_site_label
_atom_site_type_symbol
_atom_site_fract_x
_atom_site_fract_y
_atom_site_fract_z
Sr1 Sr 0.000 0.500 0.250
Li1 Li 0.000 0.000 0.000
Tl1 Tl 0.000 0.000 0.266
Pb1 Pb 0.226 0.226 0.500
```

**E_tot**: -55.30 eV for the cell shown
**N(E_F)**: 10.256 states/eV per cell
**V**: 30.557 Å³/atom
**Size of the total moment**: 0.0 μB per formula unit

[2]
A plane-wave DFT calculation with PBE-GGA was carried out for a geometry-optimized Ac2TbTe3Rh4 structure.

```
data_Ac2TbTe3Rh4
_cell_length_a 4.557
_cell_length_b 4.557
_cell_length_c 11.341
_cell_angle_alpha 90.00
_cell_angle_beta 90.00
_cell_angle_gamma 90.00
_symmetry_space_group_name_H-M 'P -4 m 2'
_symmetry_Int_Tables_number 115
loop_
_symmetry_equiv_pos_as_xyz
'x,y,z'
'y,-x,-z'
'-x,-y,z'
'-y,x,-z'
'-x,y,z'
'-y,-x,-z'
'x,-y,z'
'y,x,-z'
loop_
_atom_site_label
_atom_site_type_symbol
_atom_site_fract_x
_atom_site_fract_y
_atom_site_fract_z
Ac1 Ac 0.000 0.500 0.223
Tb1 Tb 0.000 0.000 0.500
Te1 Te 0.000 0.500 0.871
Te2 Te 0.500 0.500 0.500
Rh1 Rh 0.000 0.000 0.000
Rh2 Rh 0.000 0.500 0.640
Rh3 Rh 0.500 0.500 0.000
```

**ΔE_f (raw)**: -0.866 eV/atom
**N(E_F)**: 7.843 states/eV per cell
**V**: 23.546 Å³/atom
**Size of the total moment**: 0.5 μB per formula unit

[3]
A plane-wave DFT calculation with PBE-GGA was carried out for a geometry-optimized NdDy12Er3 structure.

```
data_NdDy12Er3
_cell_length_a 5.011
_cell_length_b 5.011
_cell_length_c 20.039
_cell_angle_alpha 90.00
_cell_angle_beta 90.00
_cell_angle_gamma 90.00
_symmetry_space_group_name_H-M 'P 4/m m m'
_symmetry_Int_Tables_number 123
_symmetry_space_group_name_Hall '-P 4 2'
loop_
_atom_site_label
_atom_site_type_symbol
_atom_site_fract_x
_atom_site_fract_y
_atom_site_fract_z
Nd1 Nd 0.000 0.000 0.000
Dy1 Dy 0.000 0.500 0.127
Dy2 Dy 0.000 0.500 0.376
Dy3 Dy 0.500 0.500 0.000
Dy4 Dy 0.500 0.500 0.252
Dy5 Dy 0.500 0.500 0.500
Er1 Er 0.000 0.000 0.251
Er2 Er 0.000 0.000 0.500
```

**E_tot**: -73.37 eV for the cell shown
**N(E_F)**: 21.078 states/eV per cell
**V**: 31.448 Å³/atom
**Size of the total moment**: 0.0 μB per formula unit

[4]
A plane-wave DFT calculation with PBE-GGA was carried out for a geometry-optimized Pm8Ge4Sb3 structure.

```
data_Pm8Ge4Sb3
_cell_length_a 12.348
_cell_length_b 12.376
_cell_length_c 8.686
_cell_angle_alpha 90.00
_cell_angle_beta 134.70
_cell_angle_gamma 90.00
_symmetry_space_group_name_H-M 'C 1 2/m 1'
_symmetry_Int_Tables_number 12
loop_
_symmetry_equiv_pos_as_xyz
'x,y,z'
'-x,-y,-z'
'-x,y,-z'
'x,-y,z'
'x+1/2,y+1/2,z'
'-x+1/2,-y+1/2,-z'
'-x+1/2,y+1/2,-z'
'x+1/2,-y+1/2,z'
loop_
_atom_site_label
_atom_site_type_symbol
_atom_site_fract_x
_atom_site_fract_y
_atom_site_fract_z
Pm1 Pm 0.000 0.237 0.000
Pm2 Pm 0.000 0.246 0.500
Pm3 Pm 0.230 0.000 0.986
Pm4 Pm 0.233 0.000 0.477
Ge1 Ge 0.000 0.000 0.000
Ge2 Ge 0.000 0.000 0.500
Ge3 Ge 0.250 0.250 0.500
Sb1 Sb 0.000 0.500 0.500
Sb2 Sb 0.250 0.250 0.000
```

**ΔE_f (raw)**: -0.827 eV/atom
**N(E_F)**: 14.137 states/eV per cell
**V**: 31.451 Å³/atom
**Size of the total moment**: 0.4 μB per formula unit

[5]
A plane-wave DFT calculation with PBE-GGA was carried out for a geometry-optimized GaPRh structure.

```
data_GaPRh
_cell_length_a 8.290
_cell_length_b 3.620
_cell_length_c 6.853
_cell_angle_alpha 90.00
_cell_angle_beta 110.38
_cell_angle_gamma 90.00
_symmetry_space_group_name_H-M 'C 1 m 1'
_symmetry_Int_Tables_number 8
loop_
_symmetry_equiv_pos_as_xyz
'x,y,z'
'x,-y,z'
'x+1/2,y+1/2,z'
'x+1/2,-y+1/2,z'
loop_
_atom_site_label
_atom_site_type_symbol
_atom_site_fract_x
_atom_site_fract_y
_atom_site_fract_z
Ga1 Ga 0.000 0.000 0.000
Ga2 Ga 0.081 0.500 0.414
P1 P 0.318 0.500 0.297
P2 P 0.345 0.000 0.731
Rh1 Rh 0.039 0.000 0.643
Rh2 Rh 0.310 0.000 0.071
```

**N(E_F)**: 3.540 states/eV per cell
**E above lowest polymorph**: 26.2 meV per atom
**V**: 16.064 Å³/atom
**Size of the total moment**: 0.0 μB per formula unit

[6]
A plane-wave DFT calculation with PBE-GGA was carried out for a geometry-optimized Rb4Ac3TiS8 structure.

```
data_Rb4Ac3TiS8
_cell_length_a 14.854
_cell_length_b 8.578
_cell_length_c 9.179
_cell_angle_alpha 90.00
_cell_angle_beta 122.65
_cell_angle_gamma 90.00
_symmetry_space_group_name_H-M 'C 1 2/m 1'
_symmetry_Int_Tables_number 12
loop_
_symmetry_equiv_pos_as_xyz
'x,y,z'
'-x,-y,-z'
'-x,y,-z'
'x,-y,z'
'x+1/2,y+1/2,z'
'-x+1/2,-y+1/2,-z'
'-x+1/2,y+1/2,-z'
'x+1/2,-y+1/2,z'
loop_
_atom_site_label
_atom_site_type_symbol
_atom_site_fract_x
_atom_site_fract_y
_atom_site_fract_z
Rb1 Rb 0.000 0.000 0.000
Rb2 Rb 0.000 0.500 0.000
Rb3 Rb 0.250 0.250 0.000
Ac1 Ac 0.000 0.000 0.500
Ac2 Ac 0.250 0.250 0.500
Ti1 Ti 0.000 0.500 0.500
S1 S 0.011 0.275 0.309
S2 S 0.212 0.500 0.690
S3 S 0.237 0.000 0.711
```

**ΔE_f (raw)**: -1.648 eV/atom
**N(E_F)**: 12.862 states/eV per cell
**V**: 30.773 Å³/atom
**Size of the total moment**: 1.0 μB per formula unit